[1]
CsTlSbTe3 PBE relaxed; DOS at the Fermi energy = 0.84 states/eV/f.u.; raw total energy = -3.20 eV per atom; formation energy (no corrections) = -2.4 eV per formula unit
1.0
8.1391 0.0000 0.0000
0.0000 8.2137 0.0000
0.0000 -4.1069 8.1337
Cs Tl Sb Te
2 2 2 6
Direct
0.7500 0.2829 0.5658
0.2500 0.7171 0.4342
0.2500 0.4042 0.8084
0.7500 0.5958 0.1916
0.2500 0.0431 0.0862
0.7500 0.9569 0.9138
0.2500 0.2178 0.4357
0.0000 0.2569 0.0000
0.5000 0.7431 0.0000
0.5000 0.2569 0.0000
0.0000 0.7431 0.0000
0.7500 0.7822 0.5643



[2]
CsTlSbTe2 PBE relaxed; energy above the lowest structure with this stoichiometry = 731 meV/atom; DOS at the Fermi energy = 6.46 states/eV/f.u.; raw total energy = -1.91 eV per atom; formation energy (no corrections) = 4.1 eV per formula unit
1.0
-3.4685 2.5332 5.0069
-0.8900 -6.0600 2.4495
5.3676 0.5934 3.4182
Cs Sb Tl Te
1 1 1 2
Direct
0.0000 0.0000 0.0000
0.0000 0.0000 0.5000
0.5000 0.5000 0.5000
0.0000 0.5000 0.0000
0.5000 0.0000 0.0000



[3]
CsTlSbTe2 PBE relaxed; energy above the lowest structure with this stoichiometry = 0 meV/atom; DOS at the Fermi energy = 6.38 states/eV/f.u.; raw total energy = -2.65 eV per atom; formation energy (no corrections) = 0.4 eV per formula unit
1.0
-0.6421 -2.8667 5.3153
5.2207 -2.9503 -0.9605
2.9013 4.2702 2.6535
Cs Sb Tl Te
1 1 1 2
Direct
0.5000 0.5000 0.5000
0.0000 0.0000 0.5000
0.0000 0.0000 0.0000
0.0000 0.5000 0.0000
0.5000 0.0000 0.0000



[4]
Cs3U3SbTe8 PBE relaxed; DOS at the Fermi energy = 10.89 states/eV/f.u.; raw total energy = -5.12 eV per atom; formation energy (no corrections) = -11.1 eV per formula unit
1.0
-7.2113 4.4430 3.2574
-0.5102 -4.2128 -8.0243
-0.0424 -6.2392 8.4161
Cs U Sb Te
3 3 1 8
Direct
0.0000 0.0000 0.0000
0.0000 0.5000 0.0000
0.5000 0.5000 0.0000
0.5000 0.0000 0.5000
0.5000 0.5000 0.5000
0.0000 0.5000 0.5000
0.0000 0.0000 0.5000
0.2698 0.5396 0.3093
0.7302 0.4604 0.6907
0.7697 0.5394 0.3120
0.2303 0.4606 0.6880
0.7697 0.0424 0.3120
0.2303 0.9576 0.6880
0.2727 0.0424 0.3120
0.7273 0.9576 0.6880



[5]
Cs2USb2Te6 PBE relaxed; DOS at the Fermi energy = 3.84 states/eV/f.u.; raw total energy = -4.11 eV per atom; formation energy (no corrections) = -5.2 eV per formula unit
1.0
8.1151 0.0000 0.0000
-4.0575 9.0384 0.4585
0.0000 -4.7453 6.8415
Cs U Sb Te
2 1 2 6
Direct
0.7503 0.5007 0.2383
0.2497 0.4993 0.7617
0.5000 0.0000 0.5000
0.9574 0.9148 0.7975
0.0426 0.0852 0.2025
0.6751 0.3502 0.5981
0.1719 0.8565 0.1913
0.3154 0.1435 0.8087
0.8281 0.1435 0.8087
0.6846 0.8565 0.1913
0.3249 0.6498 0.4019



[6]
Cs2USbTe4 PBE relaxed; DOS at the Fermi energy = 9.37 states/eV/f.u.; raw total energy = -4.26 eV per atom; formation energy (no corrections) = -4.4 eV per formula unit
1.0
-0.1644 -2.1004 5.7096
-7.3378 -5.7408 0.9205
8.4552 -12.6046 -1.1499
Cs U Sb Te
4 2 2 8
Direct
0.1734 0.0000 0.6532
0.8266 0.0000 0.3468
0.5766 0.5000 0.8468
0.9234 0.5000 0.1532
0.7500 0.5000 0.5000
0.0000 0.0000 0.0000
0.2500 0.5000 0.5000
0.5000 0.0000 0.0000
0.2773 0.7843 0.1192
0.1809 0.2157 0.8808
0.9384 0.7843 0.8808
0.6034 0.2157 0.1192
0.4727 0.7157 0.3808
0.5691 0.2843 0.6192
0.8116 0.7157 0.6192
0.1466 0.2843 0.3808